Entry 1:
Material: Cr4In5
Method: DFT, GGA-PBE
State: relaxed

Lattice parameters (Å, degrees): 8.3652 8.3652 5.8682 90.00 90.00 120.00
Closest atoms and distances in Å follow each position.
Positions (direct):
In: 0.3333 0.6667 0.0000  2 In 2.93, 6 Cr 3.01
In: 0.7116 0.7116 0.7500  7 Cr 2.79-3.03
In: 0.2884 0.2884 0.2500  7 Cr 2.79-3.03
In: 0.2884 0.0000 0.7500  7 Cr 2.79-3.03
In: 0.6667 0.3333 0.0000  2 In 2.93, 6 Cr 3.01
In: 0.0000 0.2884 0.7500  7 Cr 2.79-3.03
In: 0.7116 0.0000 0.2500  7 Cr 2.79-3.03
In: 0.0000 0.7116 0.2500  7 Cr 2.79-3.03
In: 0.6667 0.3333 0.5000  2 In 2.93, 6 Cr 3.01
In: 0.3333 0.6667 0.5000  2 In 2.93, 6 Cr 3.01
Cr: 0.3775 0.3775 0.7500  9 In 2.79-3.03
Cr: 0.0000 0.3775 0.2500  9 In 2.79-3.03
Cr: 0.6225 0.0000 0.7500  9 In 2.79-3.03
Cr: 0.0000 0.0000 0.5000  6 In 2.82, 2 Cr 2.93
Cr: 0.6225 0.6225 0.2500  9 In 2.79-3.03
Cr: 0.0000 0.0000 0.0000  6 In 2.82, 2 Cr 2.93
Cr: 0.3775 0.0000 0.2500  9 In 2.79-3.03
Cr: 0.0000 0.6225 0.7500  9 In 2.79-3.03

## Properties
N(E_F) ... 5.4 states/eV/f.u.
E ... -5.36 eV/atom
Density ... 7.30 g/cm3

=====

Entry 2:
Material: Ca2PmSi4
Method: DFT, GGA-PBE
State: relaxed

Lattice parameters (Å, degrees): 3.8874 4.3927 9.4798 103.40 101.83 90.00
Closest atoms and distances in Å follow each position.
Positions (direct):
Si: 0.6428 0.6428 0.2857  2 Si 2.39
Si: 0.9343 0.4343 0.8687  3 Si 2.37-2.39
Si: 0.3572 0.3572 0.7143  2 Si 2.39
Si: 0.0657 0.5657 0.1313  3 Si 2.37-2.39
Ca: 0.8159 0.8159 0.6318  7 Si 3.03-3.12
Ca: 0.1841 0.1841 0.3682  7 Si 3.03-3.12
Pm: 0.5000 0.0000 0.0000  12 Si 3.16-3.38

## Properties
Uncorrected formation energy ... -566 meV per atom
N(E_F) ... 2.3 states/eV/f.u.
Density ... 3.64 g/cm3

=====

Entry 3:
Material: Ti2InMoC
Method: DFT, GGA-PBE
State: relaxed

Lattice parameters (Å, degrees): 4.3003 4.3003 4.1289 90.00 90.00 90.00
Closest atoms and distances in Å follow each position.
Positions (direct):
Ti: 0.0000 0.5000 0.0000  2 C 2.15
Ti: 0.5000 0.0000 0.0000  2 C 2.15
C: 0.0000 0.0000 0.0000  2 Mo 2.06, 4 Ti 2.15
Mo: 0.0000 0.0000 0.5000  2 C 2.06
In: 0.5000 0.5000 0.5000  8 Ti 2.98, 4 Mo 3.04

## Properties
N(E_F) ... 4.4 states/eV/f.u.
E ... -8.03 eV/atom
Density ... 6.93 g/cm3

=====

Entry 4:
Material: Sc2SnS
Method: DFT, GGA-PBE
State: relaxed

Lattice parameters (Å, degrees): 4.9178 4.9178 4.9178 60.00 60.00 60.00
Closest atoms and distances in Å follow each position.
Positions (direct):
S: 0.0000 0.0000 0.0000  8 Sc 3.01
Sc: 0.7500 0.7500 0.7500  4 Sn 3.01, 4 S 3.01
Sc: 0.2500 0.2500 0.2500  4 S 3.01, 4 Sn 3.01
Sn: 0.5000 0.5000 0.5000  8 Sc 3.01

## Properties
Uncorrected formation energy ... -689 meV per atom
N(E_F) ... 1.1 states/eV/f.u.
Density ... 4.75 g/cm3